Entry 1:
KPmSn4: relaxed, PBE.

Summary:
Uncorrected energy, eV per cell: -23.13
Mass density, kg/m3: 5400
Formation enthalpy at 0 K, kJ per mole of atoms: -20.39
E above lowest polymorph, kJ/mol of atoms: 7.1

a b c (Å): 4.992 4.992 9.391
angles (deg): 90.00 90.00 120.00
Positions (direct):
K1 0.000 0.000 0.000
Pm1 0.000 0.000 0.500
Sn1 0.333 0.667 0.280
Sn2 0.333 0.667 0.720
Sn3 0.667 0.333 0.280
Sn4 0.667 0.333 0.720


Entry 2:
ZrCu2Te6: relaxed, PBE.

Summary:
Uncorrected energy, eV per cell: -75.05
Mass density, kg/m3: 6435
Uncorrected formation energy, meV per atom: -215.0

a b c (Å): 8.680 8.680 7.632
angles (deg): 104.66 104.66 68.06
Positions (direct):
Zr1 0.160 0.840 0.750
Zr2 0.840 0.160 0.250
Cu1 0.288 0.289 0.741
Cu2 0.289 0.288 0.241
Cu3 0.711 0.712 0.759
Cu4 0.712 0.711 0.259
Te1 0.027 0.184 0.642
Te2 0.044 0.606 0.842
Te3 0.184 0.027 0.142
Te4 0.348 0.478 0.561
Te5 0.394 0.956 0.658
Te6 0.478 0.348 0.061
Te7 0.522 0.652 0.939
Te8 0.606 0.044 0.342
Te9 0.652 0.522 0.439
Te10 0.816 0.973 0.858
Te11 0.956 0.394 0.158
Te12 0.973 0.816 0.358


Entry 3:
KAlZn3: relaxed, PBE.

Summary:
Uncorrected energy, eV per cell: -7.58
Mass density, kg/m3: 3336
Formation enthalpy at 0 K, kJ per mole of atoms: 20.81
E above lowest polymorph, kJ/mol of atoms: 0.0

a b c (Å): 5.073 5.073 5.073
angles (deg): 90.00 90.00 90.00
Positions (direct):
K1 0.000 0.000 0.000
Al1 0.500 0.500 0.500
Zn1 0.000 0.500 0.500
Zn2 0.500 0.000 0.500
Zn3 0.500 0.500 0.000


What did the first record say?
KPmSn4: relaxed, PBE.

Summary:
Uncorrected energy, eV per cell: -23.13
Mass density, kg/m3: 5400
Formation enthalpy at 0 K, kJ per mole of atoms: -20.39
E above lowest polymorph, kJ/mol of atoms: 7.1

a b c (Å): 4.992 4.992 9.391
angles (deg): 90.00 90.00 120.00
Positions (direct):
K1 0.000 0.000 0.000
Pm1 0.000 0.000 0.500
Sn1 0.333 0.667 0.280
Sn2 0.333 0.667 0.720
Sn3 0.667 0.333 0.280
Sn4 0.667 0.333 0.720